Entry 1:
Here is crystalline MgBeAlIr at its relaxed geometry from Alexandria via LeMat-Bulk. Energies are from PBE.

Unit cell a=4.1697 b=4.1697 c=13.4568 alpha=90.00 beta=90.00 gamma=120.00
Last column: nearest neighbours and their distance in Å.
Space group R3m (No. 160, hexagonal axes)
Symmetry-distinct sites (fractional):
Mg 0.0000 0.0000 0.0000 [3 per cell]  1 Be 2.46, 1 Ir 2.60
Be 0.0000 0.0000 0.1828 [3 per cell]  3 Al 2.43, 1 Mg 2.46, 3 Ir 2.47
Al 0.0000 0.0000 0.4941 [3 per cell]  3 Ir 2.42, 3 Be 2.43
Ir 0.0000 0.0000 0.8069 [3 per cell]  3 Al 2.42, 3 Be 2.47, 1 Mg 2.60

Summary:
Spin magnetization (μB per atom): 0.0000
Final energy (eV per atom): -4.802


Entry 2:
Here is crystalline Li12Tl6Hg at its relaxed geometry from Alexandria via LeMat-Bulk. Energies are from PBE.

Unit cell a=12.5020 b=12.5020 c=8.6868 alpha=90.00 beta=90.00 gamma=120.00
Last column: nearest neighbours and their distance in Å.
Space group R-3 (No. 148, hexagonal axes)
Symmetry-distinct sites (fractional):
Li 0.0548 0.8250 0.4139 [18 per cell]  4 Tl 2.86-2.99, 6 Li 2.87-3.04
Li 0.0556 0.8141 0.0817 [18 per cell]  1 Hg 2.83, 5 Li 2.87-3.09, 5 Tl 2.93-3.07
Tl 0.0471 0.8259 0.7457 [18 per cell]  9 Li 2.86-3.07
Hg 0.0000 0.0000 0.0000 [3 per cell]  6 Li 2.83

Summary:
Spin magnetization (μB per atom): 0.0000
Final energy (eV per atom): -2.139


Entry 3:
Here is crystalline Cs3CaHg2Cl9 at its relaxed geometry from Alexandria via LeMat-Bulk. Energies are from PBE.

Unit cell a=7.6670 b=7.6670 c=9.3904 alpha=90.00 beta=90.00 gamma=120.00
Last column: nearest neighbours and their distance in Å.
Space group P-3m1 (No. 164)
Symmetry-distinct sites (fractional):
Cs 0.0000 0.0000 0.0000 [1 per cell]  12 Cl 3.83
Cs 0.3333 0.6667 0.6702 [2 per cell]  12 Cl 3.81-3.86
Ca 0.0000 0.0000 0.5000 [1 per cell]  6 Cl 2.73
Hg 0.3333 0.6667 0.1653 [2 per cell]  6 Cl 2.70
Cl 0.0000 0.5000 0.0000 [3 per cell]  2 Hg 2.70
Cl 0.1677 0.3353 0.3323 [6 per cell]  1 Hg 2.70, 1 Ca 2.73

Summary:
Spin magnetization (μB per atom): 0.0000
E_form (uncorrected) (eV per atom): -1.53
Final energy (eV per atom): -2.983


Entry 4:
Here is crystalline MgP2Ru at its relaxed geometry from Alexandria via LeMat-Bulk. Energies are from PBE.

Unit cell a=5.5497 b=5.5497 c=11.1009 alpha=90.00 beta=90.00 gamma=90.00
Last column: nearest neighbours and their distance in Å.
Space group I-42d (No. 122)
Symmetry-distinct sites (fractional):
Mg 0.0000 0.0000 0.0000 [4 per cell]  4 P 2.58
P 0.1972 0.2500 0.6250 [8 per cell]  2 Ru 2.25
Ru 0.0000 0.0000 0.5000 [4 per cell]  4 P 2.25

Summary:
Spin magnetization (μB per atom): 0.0000
Final energy (eV per atom): -5.626


Entry 5:
Here is crystalline TbNdAu6 at its relaxed geometry from Alexandria via LeMat-Bulk. Energies are from PBE.

Unit cell a=8.7855 b=4.7698 c=8.8896 alpha=90.00 beta=114.00 gamma=90.00
Last column: nearest neighbours and their distance in Å.
Space group C2/m (No. 12)
Symmetry-distinct sites (fractional):
Tb 0.0000 0.0000 0.0000 [2 per cell]  8 Au 2.97-3.01
Nd 0.0000 0.5000 0.5000 [2 per cell]  12 Au 3.05-3.40
Au 0.1198 0.0000 0.3642 [4 per cell]  1 Tb 2.97, 4 Au 2.98-3.15, 3 Nd 3.05
Au 0.1283 0.5000 0.8795 [4 per cell]  3 Tb 2.99-3.01, 6 Au 3.01-3.33, 1 Nd 3.09
Au 0.2465 0.5000 0.2494 [4 per cell]  8 Au 2.98-3.15

Summary:
Spin magnetization (μB per atom): 0.0000
Final energy (eV per atom): -4.283


| no. | volume (Å³/atom) |
| --- | --- |
| 1 | 16.88 |
| 2 | 20.63 |
| 3 | 31.87 |
| 4 | 21.37 |
| 5 | 21.27 |